# 1
BaMgAs2 after structural relaxation, computed with GGA-PBE.

Lattice parameters (Å, degrees): 7.4809 7.4809 7.4809 90.00 90.00 90.00
Fractional positions:
Ba  0.0000  0.0000  0.0000
Ba  0.0000  0.5000  0.5000
Ba  0.5000  0.0000  0.5000
Ba  0.5000  0.5000  0.0000
Mg  0.2500  0.2500  0.7500
Mg  0.2500  0.7500  0.2500
Mg  0.7500  0.2500  0.2500
Mg  0.7500  0.7500  0.7500
As  0.0000  0.0000  0.5000
As  0.0000  0.5000  0.0000
As  0.2500  0.2500  0.2500
As  0.2500  0.7500  0.7500
As  0.5000  0.0000  0.0000
As  0.5000  0.5000  0.5000
As  0.7500  0.2500  0.7500
As  0.7500  0.7500  0.2500

raw total energy: -3.31 eV/atom
ΔH_f (0 K): -0.101 eV/atom

---

# 2
HoTiCo2 after structural relaxation, computed with GGA-PBE.

Lattice parameters (Å, degrees): 4.4892 4.4892 3.1177 90.00 90.00 90.00
Fractional positions:
Ho  0.0000  0.0000  0.0000
Ti  0.5000  0.5000  0.0000
Co  0.0000  0.5000  0.5000
Co  0.5000  0.0000  0.5000

excess energy over the best structure of this formula in the dataset: 0.413 eV/f.u.
raw total energy: -6.82 eV/atom
ΔH_f (0 K): -0.153 eV/atom

---

# 3
MgP2Cl after structural relaxation, computed with GGA-PBE.

Lattice parameters (Å, degrees): 4.8917 4.8917 2.9609 90.00 90.00 90.00
Fractional positions:
Mg  0.0000  0.0000  0.0000
P  0.0000  0.5000  0.5000
P  0.5000  0.0000  0.5000
Cl  0.5000  0.5000  0.0000

excess energy over the best structure of this formula in the dataset: 3.772 eV/f.u.
raw total energy: -3.20 eV/atom

---

# 4
Tm2Pd2Au after structural relaxation, computed with GGA-PBE.

Lattice parameters (Å, degrees): 3.5793 6.8659 8.6790 90.00 90.29 90.00
Fractional positions:
Tm  0.0021  0.1309  0.1768
Tm  0.0021  0.3691  0.6768
Tm  0.9979  0.6309  0.3232
Tm  0.9979  0.8691  0.8232
Pd  0.4994  0.6871  0.5880
Pd  0.4994  0.8129  0.0880
Pd  0.5006  0.1871  0.9120
Pd  0.5006  0.3129  0.4120
Au  0.0000  0.0000  0.5000
Au  0.0000  0.5000  0.0000

excess energy over the best structure of this formula in the dataset: 0.753 eV/f.u.
raw total energy: -5.29 eV/atom
ΔH_f (0 K): -0.770 eV/atom